# LiDy2I6

A geometry-optimized LiDy2I6 structure (PBE-GGA, the Alexandria database).

a = 17.2163 Å, b = 4.1794 Å, c = 11.5306 Å
α = 90.00°, β = 112.95°, γ = 90.00°
Space group C2/m (No. 12)
Unique sites:
Li (0.0000, 0.0000, 0.0000) x2
Dy (0.1596, 0.5000, 0.3257) x4
I (0.0229, 0.0000, 0.2887) x4
I (0.1318, 0.5000, 0.0556) x4
I (0.1956, 0.5000, 0.6146) x4

Formation energy from raw total energies (eV per atom): -1.267
Energy (eV/atom): -3.536
D(E_F) (states/eV per cell): 7.64

***

# LiDy2I

A geometry-optimized LiDy2I structure (PBE-GGA, the Alexandria database).

a = 3.5985 Å, b = 3.5985 Å, c = 34.5273 Å
α = 90.00°, β = 90.00°, γ = 120.00°
Space group R-3m (No. 166, hexagonal axes)
Unique sites:
Li (0.0000, 0.0000, 0.0000) x3
Dy (0.0000, 0.0000, 0.0939) x6
I (0.0000, 0.0000, 0.5000) x3

Formation energy from raw total energies (eV per atom): -0.016
Energy (eV/atom): -3.183
D(E_F) (states/eV per cell): 15.16

***

# NaLi2DyI6

A geometry-optimized NaLi2DyI6 structure (PBE-GGA, the Alexandria database).

a = 7.6726 Å, b = 7.6726 Å, c = 21.1943 Å
α = 90.00°, β = 90.00°, γ = 120.00°
Space group R3 (No. 146, hexagonal axes)
Unique sites:
Na (0.0000, 0.0000, 0.0000) x3
Li (0.0000, 0.0000, 0.3086) x3
Li (0.0000, 0.0000, 0.8122) x3
Dy (0.0000, 0.0000, 0.4917) x3
I (0.0028, 0.3272, 0.8990) x9
I (0.0097, 0.6383, 0.0686) x9

Formation energy from raw total energies (eV per atom): -1.266
Energy (eV/atom): -3.171
D(E_F) (states/eV per cell): 0.00